Crystalline K2YMo at its relaxed geometry. Source: Alexandria via LeMat-Bulk, functional GGA-PBE.

Properties
Formation energy (eV/atom): 1.15
Space group: C2/m
Relative energy among the computed polymorphs (eV per formula unit): 1.48
Total magnetic moment (μB per atom): 0.484
Final energy (eV per atom): -3.721

Cell and atoms, written as extended XYZ:
```
4
Lattice="7.452 -0.018 -0.007 -4.819 5.683 -0.007 0.762 1.639 2.958" Properties=species:S:1:pos:R:3 pbc="T T T"
K 0.000 0.000 0.000
K 1.316 2.832 -0.007
Mo 4.107 0.810 1.475
Y -2.029 3.661 1.475
```